(1)
Rb2HPd: optimized geometry, PBE.

```
Rb2HPd
1.0
-3.7388 -5.2758 -4.5807
3.0826 -5.9079 4.2883
-3.8227 -5.4573 2.5511
Rb Pd H
4 2 2
Direct
0.1829 0.6250 0.2500
0.5671 0.1250 0.2500
0.8750 0.8171 0.7500
0.3750 0.4329 0.7500
0.7500 0.2500 0.5000
0.0000 0.0000 0.0000
0.5000 0.5000 0.0000
0.2500 0.7500 0.5000
```

Values from the calculation:
- Density: 3.33 g/cm³
- Volume: 138.67 Å³/f.u.
- ΔE to the lowest computed polymorph: 336 meV/atom
- E_tot: -2.312 eV/atom



(2)
Rb3HPd: optimized geometry, PBE.

```
Rb3HPd
1.0
-3.1184 0.7866 -4.5196
3.2425 -3.4880 -2.8443
-3.2453 -4.2409 1.5011
Rb Pd H
3 1 1
Direct
0.0000 0.0000 0.5000
0.5000 0.0000 0.0000
0.0000 0.5000 0.0000
0.5000 0.5000 0.5000
0.0000 0.0000 0.0000
```

Values from the calculation:
- Density: 3.54 g/cm³
- Volume: 170.69 Å³/f.u.
- ΔE to the lowest computed polymorph: 0 meV/atom
- E_tot: -2.255 eV/atom



(3)
Rb2HPd: optimized geometry, PBE.

```
Rb2HPd
1.0
0.0000 3.9323 3.9323
3.9323 0.0000 3.9323
3.9323 3.9323 0.0000
Pd Rb H
1 2 1
Direct
0.5000 0.5000 0.5000
0.2500 0.2500 0.2500
0.7500 0.7500 0.7500
0.0000 0.0000 0.0000
```

Values from the calculation:
- Density: 3.80 g/cm³
- Volume: 121.61 Å³/f.u.
- ΔE to the lowest computed polymorph: 396 meV/atom
- E_tot: -2.252 eV/atom



(4)
RbHPd: optimized geometry, PBE.

```
RbHPd
1.0
4.4016 0.0000 0.0000
0.0000 4.4016 0.0000
0.0000 0.0000 3.4557
Pd H Rb
1 1 1
Direct
0.5000 0.5000 0.5000
0.5000 0.5000 0.0000
0.0000 0.0000 0.0000
```

Values from the calculation:
- Density: 4.78 g/cm³
- Volume: 66.95 Å³/f.u.
- ΔE to the lowest computed polymorph: 28 meV/atom
- E_tot: -3.295 eV/atom



(5)
Rb2H3Pd: optimized geometry, PBE.

```
Rb2H3Pd
1.0
-7.3570 0.6600 1.0565
-5.0347 -3.4066 -6.5811
-2.1740 -4.0076 2.5211
H Rb Pd
6 4 2
Direct
0.8549 0.6853 0.8809
0.5402 0.3147 0.8809
0.4598 0.6853 0.1191
0.1451 0.3147 0.1191
0.6554 0.0000 0.9016
0.3446 0.0000 0.0984
0.5000 0.0000 0.5000
0.2595 0.4810 0.5000
0.7405 0.5190 0.5000
0.0000 0.0000 0.0000
0.4081 0.1837 0.0000
0.5919 0.8163 0.0000
```

Values from the calculation:
- Density: 3.23 g/cm³
- Volume: 144.27 Å³/f.u.
- E_tot: -3.009 eV/atom



(6)
RbHPd: optimized geometry, PBE.

```
RbHPd
1.0
-4.7410 -1.5227 -1.9765
1.5480 -2.4620 -1.8165
-1.1135 -0.6557 3.1761
Rb Pd H
1 1 1
Direct
0.6666 0.6667 0.3333
0.1666 0.0000 0.0000
0.1667 0.3333 0.6667
```

Values from the calculation:
- Density: 5.87 g/cm³
- Volume: 54.55 Å³/f.u.
- ΔE to the lowest computed polymorph: 219 meV/atom
- E_tot: -3.104 eV/atom



(7)
Rb2H5Pd: optimized geometry, PBE.

```
Rb2H5Pd
1.0
6.0285 0.0000 0.0000
0.0000 6.0285 0.0000
0.0000 0.0000 3.9003
H Rb Pd
5 2 1
Direct
0.0000 0.0000 0.5000
0.8044 0.8044 0.0000
0.1956 0.1956 0.0000
0.8044 0.1956 0.0000
0.1956 0.8044 0.0000
0.5000 0.0000 0.5000
0.0000 0.5000 0.5000
0.0000 0.0000 0.0000
```

Values from the calculation:
- Density: 3.31 g/cm³
- Volume: 141.75 Å³/f.u.
- E_tot: -3.198 eV/atom



(8)
RbHPd2: optimized geometry, PBE.

```
RbHPd2
1.0
0.0000 3.3571 3.3571
3.3571 0.0000 3.3571
3.3571 3.3571 0.0000
H Rb Pd
1 1 2
Direct
0.0000 0.0000 0.0000
0.5000 0.5000 0.5000
0.2500 0.2500 0.2500
0.7500 0.7500 0.7500
```

Values from the calculation:
- Density: 6.57 g/cm³
- Volume: 75.67 Å³/f.u.
- ΔE to the lowest computed polymorph: 1117 meV/atom
- E_tot: -2.723 eV/atom



(9)
RbHPd2: optimized geometry, PBE.

```
RbHPd2
1.0
-1.4154 1.2272 -2.5439
0.5909 -1.1918 -2.8655
-6.2871 -5.0921 -0.9202
Pd H Rb
2 1 1
Direct
0.8780 0.8780 0.3661
0.1220 0.1220 0.6339
0.5000 0.5000 0.5000
0.0000 0.0000 0.0000
```

Values from the calculation:
- Density: 7.25 g/cm³
- Volume: 68.59 Å³/f.u.
- ΔE to the lowest computed polymorph: 522 meV/atom
- E_tot: -3.318 eV/atom



(10)
RbH4Pd: optimized geometry, PBE.

```
RbH4Pd
1.0
4.8681 0.0000 -0.0165
0.0000 6.2633 0.0000
-1.3869 -3.1317 6.1251
H Rb Pd
8 2 2
Direct
0.5549 0.4450 0.1831
0.5549 0.7381 0.1831
0.4451 0.5550 0.8169
0.4451 0.2619 0.8169
0.0000 0.6878 0.0000
0.2355 0.6882 0.3765
0.7645 0.3118 0.6235
0.0000 0.3123 0.0000
0.8232 0.8197 0.6395
0.1768 0.1803 0.3605
0.7166 0.4423 0.8846
0.2834 0.5577 0.1154
```

Values from the calculation:
- Density: 3.49 g/cm³
- Volume: 93.31 Å³/f.u.
- E_tot: -3.310 eV/atom



(11)
Rb2HPdS2: optimized geometry, PBE.

```
Rb2HPdS2
1.0
-6.3127 1.4151 -2.7457
-0.7762 -11.2911 -4.0351
1.4512 3.6071 7.5171
H S Rb Pd
2 4 4 2
Direct
0.7500 0.0000 0.0000
0.2500 0.0000 0.0000
0.5088 0.6364 0.0176
0.9912 0.6188 0.9824
0.0088 0.3812 0.0176
0.4912 0.3636 0.9824
0.3366 0.9577 0.6733
0.8366 0.7156 0.6733
0.6634 0.0423 0.3267
0.1634 0.2844 0.3267
0.7500 0.5000 0.0000
0.2500 0.5000 0.0000
```

Values from the calculation:
- Density: 2.80 g/cm³
- Volume: 203.30 Å³/f.u.
- E_tot: -3.526 eV/atom



(12)
Rb2HPdSe2: optimized geometry, PBE.

```
Rb2HPdSe2
1.0
6.3811 0.0000 0.0000
0.0000 9.9329 0.0000
-3.1905 -4.9665 6.3810
Rb Se Pd H
4 4 2 2
Direct
0.3835 0.0471 0.7669
0.8835 0.7198 0.7669
0.1165 0.2802 0.2331
0.6165 0.9529 0.2331
0.6064 0.4757 0.2128
0.8936 0.2629 0.7872
0.3936 0.5243 0.7872
0.1064 0.7371 0.2128
0.2500 0.5000 0.0000
0.7500 0.5000 0.0000
0.7500 0.0000 0.0000
0.2500 0.0000 0.0000
```

Values from the calculation:
- Density: 3.58 g/cm³
- Volume: 202.22 Å³/f.u.
- E_tot: -3.252 eV/atom